Record 1
YZnRh4 after structural relaxation. Source: Alexandria via LeMat-Bulk, functional GGA-PBE.

Computed properties:
- total energy (eV per atom) = -6.5068
- calculated volume (Å³/cell) = 399.6

Cell and atoms, written as CIF:
```
data_YZnRh4
_symmetry_space_group_name_H-M 'C m c m'
_symmetry_Int_Tables_number 63
_symmetry_space_group_name_Hall '-C 2c 2'
_cell_length_a 3.9672
_cell_length_b 16.5232
_cell_length_c 6.0956
_cell_angle_alpha 90.00
_cell_angle_beta 90.00
_cell_angle_gamma 90.00
loop_
_atom_site_label
_atom_site_type_symbol
_atom_site_fract_x
_atom_site_fract_y
_atom_site_fract_z
_atom_site_occupancy
Y1 Y 0.0000 0.0996 0.2500 1
Zn1 Zn 0.0000 0.2299 0.7500 1
Rh1 Rh 0.0000 0.0754 0.7500 1
Rh2 Rh 0.0000 0.3349 0.0383 1
Rh3 Rh 0.0000 0.5000 0.0000 1
```



Record 2
CdAgPbW2 after structural relaxation. Source: Alexandria via LeMat-Bulk, functional GGA-PBE.

Computed properties:
- total energy (eV per atom) = -4.3632
- calculated volume (Å³/cell) = 134.5

Cell and atoms, written as CIF:
```
data_CdAgPbW2
_symmetry_space_group_name_H-M 'P 4/m m m'
_symmetry_Int_Tables_number 123
_symmetry_space_group_name_Hall '-P 4 2'
_cell_length_a 5.0689
_cell_length_b 5.0689
_cell_length_c 5.2334
_cell_angle_alpha 90.00
_cell_angle_beta 90.00
_cell_angle_gamma 90.00
loop_
_atom_site_label
_atom_site_type_symbol
_atom_site_fract_x
_atom_site_fract_y
_atom_site_fract_z
_atom_site_occupancy
Cd1 Cd 0.0000 0.0000 0.0000 1
Ag1 Ag 0.5000 0.5000 0.5000 1
Pb1 Pb 0.5000 0.5000 0.0000 1
W1 W 0.0000 0.5000 0.5000 1
```